*one*
The following is a PBE calculation of a relaxed structure of AlAg2Sb, from Alexandria.

The calculation puts the density at 7050 kg/m³. The calculation puts the density of states at the Fermi level at 1.6 states/eV/f.u. The value obtained for the spin magnetization is 0.0 Bohr magnetons per cell.

Unit cell a=9.8179 b=9.8179 c=9.8179 alpha=154.77 beta=154.77 gamma=35.98
Fractional coordinates of all 8 atoms:
Al: 0.0000 0.0000 0.0000
Al: 0.7500 0.2500 0.5000
Ag: 0.0988 0.6250 0.9738
Ag: 0.3750 0.3488 0.4738
Ag: 0.6512 0.1250 0.0262
Ag: 0.8750 0.9012 0.5262
Sb: 0.2500 0.7500 0.5000
Sb: 0.5000 0.5000 0.0000

---

*two*
The following is a PBE calculation of a relaxed structure of AlAg2Sb, from Alexandria.

The calculation puts the density at 7311 kg/m³. The calculation puts the density of states at the Fermi level at 1.4 states/eV/f.u. The value obtained for the spin magnetization is 0.0 Bohr magnetons per cell.

Unit cell a=4.8284 b=4.8284 c=5.8126 alpha=103.86 beta=103.86 gamma=39.17
Fractional coordinates of all 4 atoms:
Al: 0.0000 0.0000 0.0000
Ag: 0.2607 0.2607 0.8458
Ag: 0.5047 0.5047 0.6021
Sb: 0.7386 0.7386 0.3282

---

*three*
The following is a PBE calculation of a relaxed structure of AlAg2Sb, from Alexandria.

The calculation puts the density at 7471 kg/m³. The calculation puts the density of states at the Fermi level at 0.9 states/eV/f.u. The value obtained for the spin magnetization is 0.0 Bohr magnetons per cell.

Unit cell a=4.7603 b=4.7603 c=5.7340 alpha=100.67 beta=100.67 gamma=39.49
Fractional coordinates of all 4 atoms:
Al: 0.0000 0.0000 0.0000
Ag: 0.2607 0.2607 0.7923
Ag: 0.7393 0.7393 0.2077
Sb: 0.5000 0.5000 0.5000

---

*four*
The following is a PBE calculation of a relaxed structure of AlAg2Sb, from Alexandria.

The calculation puts the density at 7333 kg/m³. The calculation puts the density of states at the Fermi level at 1.4 states/eV/f.u. The value obtained for the spin magnetization is 0.0 Bohr magnetons per cell.

Unit cell a=3.1880 b=3.1880 c=9.6610 alpha=90.00 beta=90.00 gamma=122.80
Fractional coordinates of all 4 atoms:
Al: 0.0000 0.0000 0.0000
Ag: 0.5000 0.5000 0.2235
Ag: 0.5000 0.5000 0.7765
Sb: 0.0000 0.0000 0.5000

---

Ranking the structures above by energy, *three* is first and the second is 67 meV/atom behind.